Compound: La2Tb5HoTh
Source: the Alexandria database
Functional: PBE-GGA
Structure: optimized geometry

Output
Theoretical density, g/cm3: 7.96
V, A^3/atom: 34.07
Total DFT energy (no corrections), eV per cell: -87.10
Crystal system: orthorhombic
Energy relative to the elements, eV/f.u.: 1.45

a b c (Å): 10.317 10.317 10.936
angles (deg): 90.00 90.00 148.20
Fractional coordinates of all 18 atoms:
1 La 0.115 0.885 0.500
2 La 0.116 0.884 0.082
3 La 0.884 0.116 0.582
4 La 0.885 0.115 0.000
5 Tb 0.015 0.985 0.791
6 Tb 0.281 0.719 0.079
7 Tb 0.298 0.702 0.473
8 Tb 0.389 0.611 0.786
9 Tb 0.481 0.519 0.504
10 Tb 0.519 0.481 0.004
11 Tb 0.611 0.389 0.286
12 Tb 0.702 0.298 0.973
13 Tb 0.719 0.281 0.579
14 Tb 0.985 0.015 0.291
15 Ho 0.201 0.799 0.774
16 Ho 0.799 0.201 0.274
17 Th 0.417 0.583 0.226
18 Th 0.583 0.417 0.726